# BaLa2Se, PBEsol geometry, DFT SCAN
# E, eV per cell: -448.58
# Fermi-level density of states, states/eV/cell: 8.62
# ΔE_f (raw), eV/atom: -0.922
data_BaLa2Se
_cell_length_a 4.0944
_cell_length_b 4.0944
_cell_length_c 31.4657
_cell_angle_alpha 90.00
_cell_angle_beta 90.00
_cell_angle_gamma 120.00
_symmetry_space_group_name_H-M 'R -3 m'
_symmetry_Int_Tables_number 166
_symmetry_space_group_name_Hall '-R 3 2"'
loop_
_atom_site_label
_atom_site_type_symbol
_atom_site_fract_x
_atom_site_fract_y
_atom_site_fract_z
Ba1 Ba 0.0000 0.0000 0.0000
La1 La 0.0000 0.0000 0.2230
Se1 Se 0.0000 0.0000 0.5000